No. 1
## K2OsO6 (GGA-PBE)

Data for a geometry-optimized K2OsO6 structure.

Properties
As for the relative energy among the computed polymorphs: 0.2121 eV/atom. For the raw formation energy, the calculation gives -6.06 eV per formula unit. Its crystal system is monoclinic. As for the total DFT energy (no corrections): -49.23 eV per cell.

Lattice parameters (Å, degrees): 3.722 6.552 6.529 120.12 93.91 90.00
Site moments in Bohr magnetons follow the coordinates.
Fractional positions:
O1 0.500 0.809 0.000  -0.01
O2 0.851 0.086 0.771  0.02
O3 0.500 0.191 0.000  -0.01
O4 0.149 0.315 0.229  0.02
O5 0.149 0.914 0.229  0.02
O6 0.851 0.685 0.771  0.02
K1 0.664 0.673 0.345  0.00
K2 0.336 0.327 0.655  0.00
Os1 0.000 0.000 0.000  0.12


No. 2
## SrCo3Os (GGA-PBE)

Data for a geometry-optimized SrCo3Os structure.

Properties
As for the relative energy among the computed polymorphs: 1.8135 eV/atom. Its crystal system is cubic. As for the total DFT energy (no corrections): -21.04 eV per cell.

Lattice parameters (Å, degrees): 4.490 4.490 4.490 90.00 90.00 90.00
Site moments in Bohr magnetons follow the coordinates.
Fractional positions:
Os1 0.500 0.500 0.500  1.98
Co1 0.500 0.000 0.000  1.74
Co2 0.000 0.500 0.000  1.38
Co3 0.000 0.000 0.500  1.29
Sr1 0.000 0.000 0.000  -0.12